DFT (PBE+U) results for a relaxed structure of NaVTeO5.

Calculated values
The offset from the most stable computed form comes out at 77 meV per atom. As for the total magnetization: 0.0 μB/cell. The calculation puts the uncorrected energy at -6.123 eV per atom.

a = 7.2814 Å, b = 9.3032 Å, c = 7.7801 Å
α = 90.00°, β = 114.15°, γ = 90.00°
Closest atoms and distances in Å follow each position.
Space group C2/c (No. 15)
Inequivalent atoms, fractional coordinates:
Na1 0.0000 0.1739 0.2500 x4  1 O 2.30
V1 0.0000 0.1737 0.7500 x4  4 O 1.75-1.76
Te1 0.0000 0.5000 0.0000 x4  6 O 2.08-2.22
O1 0.0000 0.4208 0.2500 x4  2 Te 2.08, 1 Na 2.30
O2 0.1022 0.2854 0.6291 x8  1 V 1.76
O3 0.1820 0.0595 0.9077 x8  1 V 1.75